First-principles (PBE) data for a relaxed DyErGaCo crystal, as listed in Alexandria via LeMat-Bulk. Values from VASP.

The density of states at the Fermi level is 2.7 states/eV/f.u. The electronic total energy comes out at -20.64 eV/cell. As for the mass density: 9.18 Mg/m³.

Structure (Quantum ESPRESSO input):
```
&SYSTEM
  ibrav = 0, nat = 4, ntyp = 4
/
ATOMIC_SPECIES
Dy 162.50 Dy.upf
Er 167.26 Er.upf
Ga 69.72 Ga.upf
Co 58.93 Co.upf
CELL_PARAMETERS angstrom
0.0000 3.4606 3.4606
3.4606 0.0000 3.4606
3.4606 3.4606 0.0000
ATOMIC_POSITIONS crystal
Dy 0.0000 0.0000 0.0000
Er 0.5000 0.5000 0.5000
Ga 0.2500 0.2500 0.2500
Co 0.7500 0.7500 0.7500
```